MnAlHg2 after structural relaxation, computed with GGA-PBE.

Structure (extended XYZ):
```
4
Lattice="-0.9407 -3.8200 -0.5411 2.8247 -0.7124 0.1187 1.0423 -1.2212 6.8089" Properties=species:S:1:pos:R:3 pbc="T T T"
Mn 2.0695 -1.0462 3.7877
Hg 3.4032 -1.8017 6.8028
Hg 0.3123 -2.3738 1.6431
Al 2.9420 -3.4323 4.5440
```

Volume   79 Å³/cell
E_tot   -3.16 eV per atom
DFT formation energy   21.5 kJ per mole of atoms
Crystal system   monoclinic